VASP calculation (PBE+U) on K4La3CrO8 after structural relaxation.

Geometry as POSCAR:
```
K4La3CrO8
1.0
3.5841 2.0693 6.2568
-3.5841 2.0693 6.2568
0.0000 -4.1386 6.2568
K La Cr O
4 3 1 8
Cartesian
0.0000 0.0000 0.0000
-1.7920 -1.0346 6.2568
-1.7920 1.0346 12.5135
0.0000 2.0693 6.2568
-3.5841 0.0000 9.3852
-1.7920 1.0346 3.1284
1.7920 1.0346 3.1284
0.0000 0.0000 9.3852
0.0000 0.0000 4.3515
-1.6334 -0.9431 10.5344
0.0000 -1.8861 8.2359
-1.6334 0.9431 8.2359
1.6334 -0.9431 10.5344
0.0000 1.8861 10.5344
1.6334 0.9431 8.2359
0.0000 0.0000 14.4188
```

## Properties
* crystal system: trigonal
* calculated volume: 278.4 Å³/cell
* electronic total energy: -0.4771 Ry/atom



VASP calculation (PBE+U) on KLaCr2O8 after structural relaxation.

Geometry as POSCAR:
```
KLaCr2O8
1.0
8.9306 0.0000 0.0000
0.0000 7.5914 0.0000
-0.5021 0.0000 11.1522
K La Cr O
4 4 8 32
Cartesian
0.4286 1.1559 3.7884
0.1775 2.6398 9.3645
8.2510 4.9516 1.7877
7.9999 6.4355 7.3638
3.6134 5.0350 7.3036
3.8644 6.3520 1.7275
4.5641 1.2394 9.4247
4.8151 2.5563 3.8486
1.7666 5.0446 4.5876
1.5156 6.3425 10.1637
2.4726 1.2409 6.7639
2.7236 2.5548 1.1878
5.7049 5.0365 9.9644
5.9559 6.3505 4.3883
6.9129 1.2489 0.9885
6.6619 2.5468 6.5646
0.6015 4.0090 4.1152
0.3505 7.3780 9.6913
0.8609 1.0117 6.7454
1.1120 2.7840 1.1693
1.7161 5.6684 0.5070
1.4650 5.7186 6.0831
1.7821 5.1658 8.9947
2.0332 6.2213 3.4186
3.0972 1.2089 2.1308
2.8462 2.5867 7.7069
3.0242 1.4195 5.2094
2.7731 2.3762 10.7855
3.2097 4.2322 4.9010
2.9587 7.1548 10.4771
3.5387 3.8088 1.9893
3.2877 7.5782 7.5654
5.1408 0.0131 3.5868
4.8898 3.7825 9.1629
5.4698 0.4365 0.6751
5.2188 3.3591 6.2512
5.6554 5.2152 0.3667
5.4043 6.1718 5.9428
5.5823 5.0046 3.4453
5.3313 6.3824 9.0214
6.3953 1.3701 7.7336
6.6464 2.4256 2.1575
6.9635 1.8728 5.0691
6.7124 1.9229 10.6452
7.3165 4.8074 9.9829
7.5676 6.5796 4.4068
8.0780 0.2134 1.4609
7.8270 3.5823 7.0370
```

## Properties
* crystal system: monoclinic
* calculated volume: 756.1 Å³/cell
* electronic total energy: -0.5126 Ry/atom
* energy relative to the lowest polymorph listed for this composition: 0 meV/atom



VASP calculation (PBE+U) on K3La3CrO8 after structural relaxation.

Geometry as POSCAR:
```
K3La3CrO8
1.0
6.1272 -3.5603 0.0000
6.1272 3.5603 0.0000
-4.1169 0.0000 6.2883
K La Cr O
3 3 1 8
Cartesian
0.0000 0.0000 0.0000
3.0636 1.7801 0.0000
3.0636 -1.7801 0.0000
1.0051 1.7801 3.1441
1.0051 -1.7801 3.1441
4.0687 0.0000 3.1441
-2.0585 0.0000 3.1441
-0.3542 0.0000 4.2059
3.1837 2.0307 4.2177
4.9538 2.0307 2.0706
2.0223 0.0000 1.9220
6.1151 0.0000 4.3663
3.1837 -2.0307 4.2177
4.9538 -2.0307 2.0706
8.4916 0.0000 2.0824
```

## Properties
* crystal system: monoclinic
* calculated volume: 274.4 Å³/cell
* electronic total energy: -0.4961 Ry/atom



VASP calculation (PBE+U) on KLaCr2O8 after structural relaxation.

Geometry as POSCAR:
```
KLaCr2O8
1.0
5.8901 0.0000 0.0000
-2.9451 5.1010 0.0000
0.0000 0.0000 7.8619
K La Cr O
1 1 2 8
Cartesian
0.0000 0.0000 0.0000
0.0000 0.0000 3.9310
0.0000 3.4007 6.0465
2.9451 1.7003 1.8154
0.0000 1.8131 5.4902
-1.3749 4.1944 5.4902
0.0000 3.4007 7.6646
1.5702 0.9065 2.3717
1.3749 4.1944 5.4902
2.9451 1.7003 0.1973
4.3199 0.9065 2.3717
2.9451 3.2879 2.3717
```

## Properties
* crystal system: trigonal
* calculated volume: 236.2 Å³/cell
* electronic total energy: -0.5107 Ry/atom
* energy relative to the lowest polymorph listed for this composition: 25 meV/atom



VASP calculation (PBE+U) on K2La2CrO6 after structural relaxation.

Geometry as POSCAR:
```
K2La2CrO6
1.0
3.0352 -5.1547 0.0000
3.0352 5.1547 0.0000
-1.5302 0.0000 6.3805
K La Cr O
2 2 1 6
Cartesian
3.0352 3.5760 0.0000
3.0352 -3.5760 0.0000
2.2701 1.6897 3.1902
2.2701 -1.6897 3.1902
-0.7651 0.0000 3.1902
0.1151 1.5227 4.2564
0.8393 0.0000 2.0809
0.1151 -1.5227 4.2564
4.4250 1.5227 2.1241
3.7008 0.0000 4.2996
4.4250 -1.5227 2.1241
```

## Properties
* crystal system: monoclinic
* calculated volume: 199.7 Å³/cell
* electronic total energy: -0.4994 Ry/atom



VASP calculation (PBE+U) on KLa2CrO5 after structural relaxation.

Geometry as POSCAR:
```
KLa2CrO5
1.0
6.9629 0.0000 0.0000
0.0000 6.9629 0.0000
0.0000 0.0000 5.7985
K La Cr O
2 4 2 10
Cartesian
0.0000 0.0000 0.0000
3.4814 3.4814 0.0000
1.2581 2.2233 2.8992
2.2233 5.7048 2.8992
4.7395 1.2581 2.8992
5.7048 4.7395 2.8992
0.0000 3.4814 0.0000
3.4814 0.0000 0.0000
0.0000 0.0000 2.8992
0.9165 4.3979 1.3767
0.9165 4.3979 4.4217
2.5650 0.9165 1.3767
2.5650 0.9165 4.4217
3.4814 3.4814 2.8992
4.3979 6.0464 1.3767
4.3979 6.0464 4.4217
6.0464 2.5650 1.3767
6.0464 2.5650 4.4217
```

## Properties
* crystal system: tetragonal
* calculated volume: 281.1 Å³/cell
* electronic total energy: -0.5344 Ry/atom



VASP calculation (PBE+U) on K3La2CrO6 after structural relaxation.

Geometry as POSCAR:
```
K3La2CrO6
1.0
3.0489 -5.2891 0.0000
3.0489 5.2891 0.0000
-2.0023 0.0000 6.2421
K La Cr O
3 2 1 6
Cartesian
0.0000 0.0000 0.0000
3.0489 1.6670 0.0000
3.0489 -1.6670 0.0000
2.0477 3.5210 3.1211
2.0477 -3.5210 3.1211
2.0477 0.0000 3.1211
1.1388 1.5732 1.9663
0.2285 0.0000 4.2624
1.1388 -1.5732 1.9663
2.9566 1.5732 4.2759
3.8670 0.0000 1.9797
2.9566 -1.5732 4.2759
```

## Properties
* crystal system: monoclinic
* calculated volume: 201.3 Å³/cell
* electronic total energy: -0.4770 Ry/atom



VASP calculation (PBE+U) on KLaZrCrO6 after structural relaxation.

Geometry as POSCAR:
```
KLaZrCrO6
1.0
0.0000 4.0230 4.0230
4.0230 0.0000 4.0230
4.0230 4.0230 0.0000
K La Zr Cr O
1 1 1 1 6
Cartesian
0.0000 0.0000 0.0000
4.0230 4.0230 4.0230
2.0115 2.0115 2.0115
6.0344 6.0344 6.0344
6.0344 6.0344 4.0959
6.0344 4.0959 6.0344
7.9730 6.0344 6.0344
4.0959 6.0344 6.0344
6.0344 7.9730 6.0344
6.0344 6.0344 7.9730
```

## Properties
* crystal system: cubic
* calculated volume: 130.2 Å³/cell
* electronic total energy: -0.5669 Ry/atom